Be3CoSi, relaxed, DFT PBE-GGA; E_tot = -4.582 eV/atom; theoretical density = 3.6 g/cm³; energy relative to the elements, uncorrected = 0.160 eV per atom
1.0
-2.224 3.235 3.665
2.224 -3.235 3.665
2.224 3.235 -3.665
Be Co Si
6 2 2
Direct
0.000 0.000 0.500
0.000 0.500 0.000
0.329 0.000 0.829
0.329 0.500 0.329
0.671 0.000 0.171
0.671 0.500 0.671
0.260 0.010 0.250
0.740 0.990 0.750
0.268 0.518 0.750
0.732 0.482 0.250